Run a
Density functional theory data (PBE) for an optimized crystal structure of TbDyHoTl.

Output
* calculated volume: 28.84 A^3/atom

Lattice parameters (Å, degrees): 7.7275 7.7275 7.7275 90.00 90.00 90.00
Space group F-43m (No. 216)
One atom of each set of equivalent atoms:
Tb1 0.0000 0.0000 0.0000 x4
Dy1 0.0000 0.0000 0.5000 x4
Ho1 0.2500 0.2500 0.2500 x4
Tl1 0.2500 0.2500 0.7500 x4



Run b
Density functional theory data (PBE) for an optimized crystal structure of TbDyHoTl.

Output
* calculated volume: 28.50 A^3/atom

Lattice parameters (Å, degrees): 4.8391 4.8488 4.8583 90.00 90.00 90.00
Space group Pmmm (No. 47)
One atom of each set of equivalent atoms:
Tb1 0.0000 0.0000 0.0000 x1
Dy1 0.5000 0.5000 0.0000 x1
Ho1 0.5000 0.0000 0.5000 x1
Tl1 0.0000 0.5000 0.5000 x1



Which of them is the least stable? Correct choice: run a.



Run a
Density functional theory data (PBE) for an optimized crystal structure of TbDyHoTm.

Output
* calculated volume: 31.40 A^3/atom

Lattice parameters (Å, degrees): 7.9499 7.9499 7.9499 90.00 90.00 90.00
Space group F-43m (No. 216)
One atom of each set of equivalent atoms:
Tb1 0.0000 0.0000 0.0000 x4
Dy1 0.0000 0.0000 0.5000 x4
Ho1 0.2500 0.2500 0.7500 x4
Tm1 0.2500 0.2500 0.2500 x4



Run b
Density functional theory data (PBE) for an optimized crystal structure of TbDyHoTm.

Output
* calculated volume: 30.84 A^3/atom

Lattice parameters (Å, degrees): 4.9789 4.9789 9.9535 90.00 90.00 90.00
Space group I-4m2 (No. 119)
One atom of each set of equivalent atoms:
Tb1 0.0000 0.0000 0.0000 x2
Dy1 0.0000 0.0000 0.5000 x2
Ho1 0.0000 0.5000 0.2500 x2
Tm1 0.0000 0.5000 0.7500 x2



Which of them is the least stable? Correct choice: run a.



Run a
Density functional theory data (PBE) for an optimized crystal structure of Dy2HoTc.

Output
* calculated volume: 26.50 A^3/atom

Lattice parameters (Å, degrees): 7.4156 9.1675 6.2357 90.00 90.00 90.00
Space group Pnma (No. 62)
One atom of each set of equivalent atoms:
Dy1 0.1767 0.0634 0.1591 x8
Ho1 0.0424 0.2500 0.6292 x4
Tc1 0.1140 0.7500 0.9587 x4



Run b
Density functional theory data (PBE) for an optimized crystal structure of Dy2HoTc.

Output
* calculated volume: 27.39 A^3/atom

Lattice parameters (Å, degrees): 3.4076 3.4076 32.6820 90.00 90.00 120.00
Space group R-3m (No. 166, hexagonal axes)
One atom of each set of equivalent atoms:
Dy1 0.0000 0.0000 0.1045 x6
Ho1 0.0000 0.0000 0.0000 x3
Tc1 0.0000 0.0000 0.5000 x3



Which of them is the least stable? Correct choice: run b.